The following is a DFT calculation (PBE) of crystalline NpTe2As2Pd7 at its relaxed geometry.

Lattice parameters (Å, degrees): 15.344 15.344 15.344 164.87 164.87 21.46
Fractional positions:
Np  0.000  0.000  0.000
Te  0.209  0.209  0.000
Te  0.791  0.791  0.000
As  0.379  0.379  0.000
As  0.621  0.621  0.000
Pd  0.072  0.572  0.500
Pd  0.298  0.298  0.000
Pd  0.428  0.928  0.500
Pd  0.500  0.500  0.000
Pd  0.572  0.072  0.500
Pd  0.702  0.702  0.000
Pd  0.928  0.428  0.500

Computed properties:
- symmetry = No. 139
- formation energy without anion corrections (eV per atom) = -0.335

=====

The following is a DFT calculation (PBE) of crystalline PmNp4As5 at its relaxed geometry.

Lattice parameters (Å, degrees): 10.941 10.941 10.941 158.23 149.02 38.19
Fractional positions:
Pm  0.000  0.000  0.000
Np  0.202  0.202  0.000
Np  0.400  0.400  0.000
Np  0.600  0.600  0.000
Np  0.798  0.798  0.000
As  0.104  0.604  0.500
As  0.301  0.801  0.500
As  0.500  0.000  0.500
As  0.699  0.199  0.500
As  0.896  0.396  0.500

Computed properties:
- symmetry = No. 71
- ΔH_f (0 K) (kcal/mol of atoms) = -19.58

=====

The following is a DFT calculation (PBE) of crystalline PmNpAs2 at its relaxed geometry.

Lattice parameters (Å, degrees): 4.125 4.125 21.317 90.00 90.00 120.00
Fractional positions:
Pm  0.000  0.000  0.000
Pm  0.333  0.667  0.667
Pm  0.667  0.333  0.333
Np  0.000  0.000  0.828
Np  0.333  0.667  0.495
Np  0.667  0.333  0.162
As  0.000  0.000  0.243
As  0.000  0.000  0.418
As  0.333  0.667  0.085
As  0.333  0.667  0.909
As  0.667  0.333  0.576
As  0.667  0.333  0.752

Computed properties:
- excess energy over the best structure of this formula in the dataset (eV per formula unit) = 0.58
- symmetry = No. 160
- ΔH_f (0 K) (kcal/mol of atoms) = -22.00

=====

The following is a DFT calculation (PBE) of crystalline Pm4NpAs5 at its relaxed geometry.

Lattice parameters (Å, degrees): 7.290 7.290 7.290 99.59 99.59 131.81
Fractional positions:
Pm  0.098  0.301  0.399
Pm  0.301  0.902  0.202
Pm  0.699  0.098  0.798
Pm  0.902  0.699  0.601
Np  0.500  0.500  0.000
As  0.000  0.000  0.000
As  0.207  0.597  0.804
As  0.403  0.207  0.610
As  0.597  0.793  0.390
As  0.793  0.403  0.196

Computed properties:
- symmetry = No. 87
- ΔH_f (0 K) (kcal/mol of atoms) = -31.15

=====

The following is a DFT calculation (PBE) of crystalline PmNpAs2 at its relaxed geometry.

Lattice parameters (Å, degrees): 7.175 7.175 7.175 90.00 90.00 90.00
Fractional positions:
Pm  0.000  0.000  0.000
Pm  0.000  0.500  0.500
Pm  0.500  0.000  0.500
Pm  0.500  0.500  0.000
Np  0.000  0.000  0.500
Np  0.000  0.500  0.000
Np  0.500  0.000  0.000
Np  0.500  0.500  0.500
As  0.250  0.250  0.250
As  0.250  0.250  0.750
As  0.250  0.750  0.250
As  0.250  0.750  0.750
As  0.750  0.250  0.250
As  0.750  0.250  0.750
As  0.750  0.750  0.250
As  0.750  0.750  0.750

Computed properties:
- excess energy over the best structure of this formula in the dataset (eV per formula unit) = 1.45
- symmetry = No. 225
- ΔH_f (0 K) (kcal/mol of atoms) = -16.96

=====

The following is a DFT calculation (PBE) of crystalline Pm2NpAs3 at its relaxed geometry.

Lattice parameters (Å, degrees): 4.195 4.195 17.758 90.00 90.00 90.00
Fractional positions:
Pm  0.000  0.000  0.168
Pm  0.000  0.000  0.832
Pm  0.500  0.500  0.332
Pm  0.500  0.500  0.668
Np  0.000  0.000  0.500
Np  0.500  0.500  0.000
As  0.000  0.000  0.000
As  0.000  0.000  0.336
As  0.000  0.000  0.664
As  0.500  0.500  0.164
As  0.500  0.500  0.500
As  0.500  0.500  0.836

Computed properties:
- symmetry = No. 139
- ΔH_f (0 K) (kcal/mol of atoms) = -28.42

=====

The following is a DFT calculation (PBE) of crystalline Pm3NpAs4 at its relaxed geometry.

Lattice parameters (Å, degrees): 5.947 5.947 5.947 90.00 90.00 90.00
Fractional positions:
Pm  0.000  0.000  0.500
Pm  0.000  0.500  0.000
Pm  0.500  0.000  0.000
Np  0.500  0.500  0.500
As  0.000  0.000  0.000
As  0.000  0.500  0.500
As  0.500  0.000  0.500
As  0.500  0.500  0.000

Computed properties:
- symmetry = No. 221
- ΔH_f (0 K) (kcal/mol of atoms) = -29.95

=====

The following is a DFT calculation (PBE) of crystalline PmNpAs2 at its relaxed geometry.

Lattice parameters (Å, degrees): 4.160 4.160 20.525 90.00 90.00 120.00
Fractional positions:
Pm  0.000  0.000  0.000
Pm  0.333  0.667  0.667
Pm  0.667  0.333  0.333
Np  0.000  0.000  0.500
Np  0.333  0.667  0.167
Np  0.667  0.333  0.833
As  0.000  0.000  0.246
As  0.000  0.000  0.754
As  0.333  0.667  0.420
As  0.333  0.667  0.913
As  0.667  0.333  0.087
As  0.667  0.333  0.580

Computed properties:
- excess energy over the best structure of this formula in the dataset (eV per formula unit) = 0.00
- symmetry = No. 166
- ΔH_f (0 K) (kcal/mol of atoms) = -25.33

=====

The following is a DFT calculation (PBE) of crystalline PmNpAs2 at its relaxed geometry.

Lattice parameters (Å, degrees): 3.570 3.570 7.198 90.00 90.00 90.00
Fractional positions:
Pm  0.000  0.000  0.000
Np  0.000  0.000  0.500
As  0.500  0.500  0.261
As  0.500  0.500  0.739

Computed properties:
- excess energy over the best structure of this formula in the dataset (eV per formula unit) = 1.30
- symmetry = No. 123
- ΔH_f (0 K) (kcal/mol of atoms) = -17.84

=====

The following is a DFT calculation (PBE) of crystalline Pm2PrNpAs4 at its relaxed geometry.

Lattice parameters (Å, degrees): 7.311 4.216 7.314 90.00 109.31 90.00
Fractional positions:
Pm  0.000  0.000  0.000
Pm  0.000  0.500  0.500
Pr  0.500  0.000  0.500
Np  0.500  0.500  0.000
As  0.252  0.500  0.242
As  0.256  0.000  0.759
As  0.744  0.000  0.241
As  0.748  0.500  0.758

Computed properties:
- symmetry = No. 10
- ΔH_f (0 K) (kcal/mol of atoms) = -29.87

=====

The following is a DFT calculation (PBE) of crystalline Pm2NpAs3Pt4 at its relaxed geometry.

Lattice parameters (Å, degrees): 4.268 4.268 11.467 90.00 90.00 90.00
Fractional positions:
Pm  0.000  0.500  0.216
Pm  0.500  0.000  0.784
Np  0.000  0.000  0.500
As  0.000  0.500  0.874
As  0.500  0.000  0.126
As  0.500  0.500  0.500
Pt  0.000  0.000  0.000
Pt  0.000  0.500  0.661
Pt  0.500  0.000  0.339
Pt  0.500  0.500  0.000

Computed properties:
- symmetry = No. 115
- ΔH_f (0 K) (kcal/mol of atoms) = -18.09

=====

The following is a DFT calculation (PBE) of crystalline PmPu2NpAs4 at its relaxed geometry.

Lattice parameters (Å, degrees): 7.181 4.153 7.207 90.00 109.36 90.00
Fractional positions:
Pm  0.000  0.000  0.000
Pu  0.500  0.000  0.500
Pu  0.500  0.500  0.000
Np  0.000  0.500  0.500
As  0.252  0.000  0.746
As  0.256  0.500  0.258
As  0.744  0.500  0.742
As  0.748  0.000  0.254

Computed properties:
- symmetry = No. 10
- ΔH_f (0 K) (kcal/mol of atoms) = -23.78

=====

Looking at volume for the records above, in order, we have 246; 250; 314; 264; 369; 313; 210; 308; 92; 213; 209; 203 Å³/cell.
Looking at magnetic moment for the records above, in order, we have 3.614; 15.553; 3.924; 3.681; 3.945; 3.812; 3.805; 3.818; 3.856; 3.759; 4.025; 6.530 μB per formula unit.